Record 1
# HoAlIr2

A geometry-optimized HoAlIr2 structure (PBE-GGA, Alexandria via LeMat-Bulk).

Output
* ΔH_f (0 K): -0.807 eV per atom
* DOS at the Fermi energy: 1.7 states/eV/cell

a = 3.1191 Å, b = 3.1191 Å, c = 6.8434 Å
α = 90.00°, β = 90.00°, γ = 90.00°
With the nearest neighbours (Å) after each atom.
Space group P4/mmm (No. 123)
Unique sites:
Ho  0.0000  0.0000  0.0000 x1  8 Ir 2.95, 4 Ho 3.12
Al  0.0000  0.0000  0.5000 x1  8 Ir 2.65
Ir  0.5000  0.5000  0.2863 x2  4 Al 2.65, 1 Ir 2.93, 4 Ho 2.95

***

Record 2
# Ho2Al8Ir

A geometry-optimized Ho2Al8Ir structure (PBE-GGA, Alexandria via LeMat-Bulk).

Output
* ΔH_f (0 K): -0.554 eV per atom
* DOS at the Fermi energy: 3.7 states/eV/cell

a = 4.2805 Å, b = 4.2805 Å, c = 11.1399 Å
α = 90.00°, β = 90.00°, γ = 90.00°
With the nearest neighbours (Å) after each atom.
Space group P4/mmm (No. 123)
Unique sites:
Ho  0.0000  0.0000  0.1904 x2  12 Al 3.00-3.03
Al  0.0000  0.5000  0.0000 x2  4 Ho 3.01, 8 Al 3.03
Al  0.0000  0.5000  0.3789 x4  2 Ir 2.53, 1 Al 2.70
Al  0.5000  0.5000  0.1930 x2  8 Al 2.98-3.03, 4 Ho 3.03
Ir  0.0000  0.0000  0.5000 x1  8 Al 2.53

***

DOS at the Fermi energy of number 1 (HoAlIr2)? 1.7 states/eV/cell

***

Number 2 is which compound? Ho2Al8Ir